1.
DFT (PBE-GGA) results for a relaxed Sc3Tc4 crystal.

Output
Energy of formation from the pure elements, meV per atom: -171
Distance to the lowest polymorph of the same formula, meV per atom: 0.0

a = 13.456 Å, b = 13.456 Å, c = 13.456 Å
α = 166.86°, β = 166.86°, γ = 18.63°
Fractional positions:
1 Tc 0.568 0.568 0.000
2 Sc 0.306 0.306 0.000
3 Tc 0.432 0.432 0.000
4 Sc 0.694 0.694 0.000
5 Tc 0.122 0.122 0.000
6 Sc 0.000 0.000 0.000
7 Tc 0.878 0.878 0.000

---

2.
DFT (PBE-GGA) results for a relaxed Cs2TaHgSe4 crystal.

Output
Formation energy without anion corrections, meV per atom: -829.6

a = 7.071 Å, b = 8.000 Å, c = 13.124 Å
α = 83.16°, β = 74.37°, γ = 63.77°
Fractional positions:
1 Ta 0.500 0.000 0.000
2 Se 0.893 0.693 0.609
3 Hg 0.000 0.000 0.000
4 Se 0.498 0.307 0.609
5 Se 0.555 0.193 0.109
6 Se 0.413 0.693 0.391
7 Se 0.337 0.807 0.109
8 Se 0.195 0.307 0.391
9 Ta 0.250 0.500 0.500
10 Cs 0.179 0.000 0.643
11 Hg 0.750 0.500 0.500
12 Se 0.252 0.193 0.891
13 Cs 0.821 0.000 0.357
14 Cs 0.929 0.500 0.143
15 Se 0.857 0.807 0.891
16 Cs 0.571 0.500 0.857

---

3.
DFT (PBE-GGA) results for a relaxed Be2CrFe crystal.

Output
Energy of formation from the pure elements, meV per atom: 401
Distance to the lowest polymorph of the same formula, meV per atom: 547.3

a = 5.911 Å, b = 5.911 Å, c = 4.769 Å
α = 51.71°, β = 51.71°, γ = 90.00°
Site moments in Bohr magnetons follow the coordinates.
Fractional positions:
1 Cr 0.250 0.750 0.500  0.23
2 Be 0.875 0.884 0.750  -0.03
3 Fe 0.000 0.000 0.000  1.53
4 Cr 0.500 0.500 0.000  0.23
5 Be 0.116 0.625 0.250  -0.03
6 Be 0.375 0.366 0.750  -0.03
7 Be 0.634 0.125 0.250  -0.03
8 Fe 0.750 0.250 0.500  1.53

---

4.
DFT (PBE-GGA) results for a relaxed Mg3Zr2PaN6 crystal.

Output
Formation energy without anion corrections, meV per atom: -1284.5

a = 3.306 Å, b = 6.479 Å, c = 7.243 Å
α = 101.21°, β = 103.19°, γ = 90.00°
Fractional positions:
1 N 0.669 0.584 0.337
2 N 0.335 0.908 0.669
3 N 0.997 0.748 0.994
4 Zr 0.171 0.345 0.341
5 N 0.665 0.092 0.331
6 N 0.003 0.252 0.006
7 Mg 0.500 0.500 0.000
8 N 0.331 0.416 0.663
9 Mg 0.828 0.165 0.656
10 Zr 0.829 0.655 0.659
11 Pa 0.500 0.000 0.000
12 Mg 0.172 0.835 0.344

---

5.
DFT (PBE-GGA) results for a relaxed Tl2TcAgF6 crystal.

Output
Formation energy without anion corrections, meV per atom: -1668.1

a = 6.239 Å, b = 6.455 Å, c = 8.995 Å
α = 90.00°, β = 90.00°, γ = 90.00°
Site moments in Bohr magnetons follow the coordinates.
Fractional positions:
1 F 0.776 0.987 0.000  0.04
2 Ag 0.500 0.262 0.000  0.01
3 Ag 0.000 0.738 0.500  0.01
4 F 0.500 0.234 0.729  0.02
5 F 0.000 0.766 0.229  0.02
6 F 0.225 0.534 0.000  0.04
7 F 0.500 0.234 0.271  0.02
8 F 0.275 0.466 0.500  0.04
9 F 0.724 0.013 0.500  0.04
10 F 0.000 0.766 0.771  0.02
11 Tl 0.500 0.756 0.250  0.01
12 Tc 0.000 0.760 0.000  1.96
13 Tl 0.500 0.756 0.750  0.01
14 Tc 0.500 0.240 0.500  1.96
15 F 0.775 0.534 0.000  0.04
16 F 0.224 0.987 0.000  0.04
17 F 0.725 0.466 0.500  0.04
18 F 0.276 0.013 0.500  0.04
19 Tl 0.000 0.244 0.250  0.01
20 Tl 0.000 0.244 0.750  0.01

---

6.
DFT (PBE-GGA) results for a relaxed MgCd12Hg6 crystal.

Output
Energy of formation from the pure elements, meV per atom: 9
Distance to the lowest polymorph of the same formula, meV per atom: 0.0

a = 8.031 Å, b = 8.031 Å, c = 8.031 Å
α = 104.97°, β = 104.97°, γ = 104.97°
Fractional positions:
1 Cd 0.781 0.045 0.272
2 Hg 0.134 0.417 0.199
3 Cd 0.542 0.616 0.194
4 Hg 0.866 0.583 0.801
5 Cd 0.219 0.955 0.728
6 Mg 0.000 0.000 0.000
7 Cd 0.194 0.542 0.616
8 Cd 0.458 0.384 0.806
9 Cd 0.272 0.781 0.045
10 Hg 0.801 0.866 0.583
11 Hg 0.583 0.801 0.866
12 Cd 0.955 0.728 0.219
13 Cd 0.384 0.806 0.458
14 Cd 0.806 0.458 0.384
15 Hg 0.417 0.199 0.134
16 Cd 0.616 0.194 0.542
17 Cd 0.728 0.219 0.955
18 Cd 0.045 0.272 0.781
19 Hg 0.199 0.134 0.417

---

Computed calculated volume, in the same sequence as the records: 18.0; 40.1; 10.0; 12.3; 18.1; 23.8 Å³ per atom.
Computed energy, in the same sequence as the records: -8.808; -4.305; -5.984; -8.062; -4.586; -0.748 eV/atom.
Computed ρ, in the same sequence as the records: 6.9; 5.0; 5.2; 6.4; 6.7; 9.4 Mg/m³.